This record from the Alexandria database describes TbPr2Y3Se6 after structural relaxation. The functional is PBE.

Geometry as CIF:
```
data_TbPr2Y3Se6
_space_group_name_H-M_alt 'P 1'
_space_group_IT_number 1
_cell_length_a 4.1199
_cell_length_b 8.3668
_cell_length_c 9.2880
_cell_angle_alpha 103.57
_cell_angle_beta 102.81
_cell_angle_gamma 90.00
loop_
_space_group_symop_operation_xyz
'x,y,z'
loop_
_atom_site_label
_atom_site_type_symbol
_atom_site_fract_x
_atom_site_fract_y
_atom_site_fract_z
Y1 Y 0.1700 0.8336 0.3401
Se1 Se 0.3378 0.4077 0.6757
Pr1 Pr 0.1683 0.3360 0.3366
Se2 Se 0.0042 0.7520 0.0084
Tb1 Tb 0.5000 0.0000 0.0000
Se3 Se 0.6622 0.5923 0.3243
Se4 Se 0.9958 0.2480 0.9916
Pr2 Pr 0.8317 0.6640 0.6634
Y2 Y 0.8300 0.1664 0.6599
Se5 Se 0.3349 0.9281 0.6697
Y3 Y 0.5000 0.5000 0.0000
Se6 Se 0.6651 0.0719 0.3303
```

=====

This record from the Alexandria database describes Pr8Te3Se4 after structural relaxation. The functional is PBE.

Geometry as CIF:
```
data_Pr8Te3Se4
_space_group_name_H-M_alt 'P 1'
_space_group_IT_number 1
_cell_length_a 8.7627
_cell_length_b 8.7543
_cell_length_c 8.7543
_cell_angle_alpha 90.02
_cell_angle_beta 120.05
_cell_angle_gamma 120.05
loop_
_space_group_symop_operation_xyz
'x,y,z'
loop_
_atom_site_label
_atom_site_type_symbol
_atom_site_fract_x
_atom_site_fract_y
_atom_site_fract_z
Se1 Se 0.5000 0.0000 0.0000
Se2 Se 0.0000 0.5000 0.0000
Te1 Te 0.5000 0.5000 0.0000
Se3 Se 0.0000 0.0000 0.5000
Pr1 Pr 0.0000 0.2399 0.7601
Se4 Se 0.0000 0.0000 0.0000
Te2 Te 0.5000 0.0000 0.5000
Pr2 Pr 0.5220 0.7716 0.7716
Pr3 Pr 0.9817 0.2322 0.2322
Pr4 Pr 0.5000 0.2370 0.7630
Pr5 Pr 0.5000 0.7630 0.2370
Pr6 Pr 0.4780 0.2284 0.2284
Pr7 Pr 0.0183 0.7678 0.7678
Te3 Te 0.5000 0.5000 0.5000
Pr8 Pr 0.0000 0.7601 0.2399
```

=====

This record from the Alexandria database describes Pr3Te5Se12 after structural relaxation. The functional is PBE.

Geometry as CIF:
```
data_Pr3Te5Se12
_space_group_name_H-M_alt 'P 1'
_space_group_IT_number 1
_cell_length_a 14.9183
_cell_length_b 14.9183
_cell_length_c 14.9183
_cell_angle_alpha 109.47
_cell_angle_beta 109.47
_cell_angle_gamma 109.47
loop_
_space_group_symop_operation_xyz
'x,y,z'
loop_
_atom_site_label
_atom_site_type_symbol
_atom_site_fract_x
_atom_site_fract_y
_atom_site_fract_z
Se1 Se 0.0560 0.4129 0.8349
Te1 Te 0.8750 0.6250 0.7500
Se2 Se 0.8349 0.9220 0.2789
Se3 Se 0.5871 0.6431 0.4220
Pr1 Pr 0.7500 0.8750 0.6250
Te2 Te 0.0000 0.5000 0.5000
Se4 Se 0.0780 0.1651 0.2211
Pr2 Pr 0.6250 0.2500 0.3750
Te3 Te 0.0000 0.5000 0.0000
Se5 Se 0.4129 0.3569 0.5780
Se6 Se 0.2211 0.5560 0.6431
Te4 Te 0.5000 0.0000 0.5000
Se7 Se 0.9220 0.0871 0.6431
Te5 Te 0.5000 0.0000 0.0000
Se8 Se 0.4440 0.6651 0.0871
Pr3 Pr 0.2500 0.1250 0.3750
Te6 Te 0.5000 0.5000 0.0000
Te7 Te 0.7500 0.6250 0.3750
Se9 Se 0.5560 0.3349 0.9129
Te8 Te 0.1250 0.3750 0.2500
Se10 Se 0.6651 0.4440 0.5871
Se11 Se 0.1651 0.0871 0.9440
Se12 Se 0.7789 0.3349 0.9220
Se13 Se 0.1431 0.4220 0.0871
Te9 Te 0.3750 0.2500 0.1250
Se14 Se 0.9129 0.0780 0.8569
Se15 Se 0.9129 0.8349 0.5560
Se16 Se 0.9440 0.3569 0.2789
Se17 Se 0.7211 0.5780 0.1651
Pr4 Pr 0.8750 0.7500 0.1250
Se18 Se 0.3569 0.9440 0.7789
Se19 Se 0.2789 0.8569 0.9440
Se20 Se 0.5780 0.8569 0.4129
Se21 Se 0.0560 0.6431 0.7211
Se22 Se 0.0871 0.1651 0.4440
Pr5 Pr 0.8750 0.1250 0.2500
Te10 Te 0.0000 0.0000 0.0000
Se23 Se 0.9220 0.8349 0.7789
Pr6 Pr 0.2500 0.6250 0.8750
Te11 Te 0.2500 0.3750 0.6250
Se24 Se 0.3349 0.5560 0.4129
Se25 Se 0.2211 0.6651 0.0780
Te12 Te 0.7500 0.1250 0.8750
Se26 Se 0.8569 0.5780 0.9129
Se27 Se 0.3349 0.7789 0.4220
Pr7 Pr 0.7500 0.3750 0.1250
Se28 Se 0.0780 0.9129 0.3569
Se29 Se 0.7789 0.4440 0.3569
Se30 Se 0.6651 0.2211 0.5780
Te13 Te 0.1250 0.7500 0.3750
Se31 Se 0.6431 0.0560 0.2211
Se32 Se 0.9440 0.5871 0.1651
Se33 Se 0.1431 0.7211 0.5560
Se34 Se 0.8569 0.2789 0.4440
Se35 Se 0.0871 0.9220 0.1431
Pr8 Pr 0.6250 0.3750 0.7500
Te14 Te 0.3750 0.1250 0.7500
Te15 Te 0.8750 0.2500 0.6250
Se36 Se 0.3569 0.4129 0.0780
Se37 Se 0.5560 0.2211 0.1431
Se38 Se 0.6431 0.5871 0.9220
Pr9 Pr 0.1250 0.8750 0.7500
Se39 Se 0.7211 0.1431 0.0560
Te16 Te 0.6250 0.7500 0.8750
Se40 Se 0.4220 0.2789 0.3349
Te17 Te 0.6250 0.8750 0.2500
Pr10 Pr 0.3750 0.7500 0.6250
Se41 Se 0.4129 0.0560 0.3349
Se42 Se 0.2789 0.4220 0.8349
Pr11 Pr 0.3750 0.6250 0.2500
Pr12 Pr 0.1250 0.2500 0.8750
Se43 Se 0.4220 0.1431 0.5871
Se44 Se 0.5871 0.9440 0.6651
Se45 Se 0.4440 0.7789 0.8569
Se46 Se 0.1651 0.0780 0.7211
Te18 Te 0.0000 0.0000 0.5000
Te19 Te 0.2500 0.8750 0.1250
Te20 Te 0.5000 0.5000 0.5000
Se47 Se 0.5780 0.7211 0.6651
Se48 Se 0.8349 0.9129 0.0560
```

=====

This record from the Alexandria database describes Pr3Te3Se after structural relaxation. The functional is PBE.

Geometry as CIF:
```
data_Pr3Te3Se
_space_group_name_H-M_alt 'P 1'
_space_group_IT_number 1
_cell_length_a 7.9421
_cell_length_b 7.9421
_cell_length_c 8.2087
_cell_angle_alpha 90.59
_cell_angle_beta 90.59
_cell_angle_gamma 110.20
loop_
_space_group_symop_operation_xyz
'x,y,z'
loop_
_atom_site_label
_atom_site_type_symbol
_atom_site_fract_x
_atom_site_fract_y
_atom_site_fract_z
Pr1 Pr 0.8056 0.5006 0.6960
Te1 Te 0.2271 0.7729 0.0000
Pr2 Pr 0.0567 0.0567 0.7954
Te2 Te 0.6350 0.6350 0.3648
Te3 Te 0.3650 0.3650 0.6352
Te4 Te 0.7729 0.2271 0.0000
Se1 Se 0.7471 0.7471 0.9203
Pr3 Pr 0.4994 0.1944 0.3040
Se2 Se 0.2529 0.2529 0.0797
Pr4 Pr 0.9433 0.9433 0.2046
Pr5 Pr 0.5006 0.8056 0.6960
Te5 Te 0.8398 0.1602 0.5000
Pr6 Pr 0.1944 0.4994 0.3040
Te6 Te 0.1602 0.8398 0.5000
```

=====

Number 1: Fermi-level density of states 5.64 states/eV/cell, E_form (uncorrected) -1794 meV per atom. Number 2: Fermi-level density of states 5.89 states/eV/cell, E_form (uncorrected) -1509 meV per atom. Number 3: Fermi-level density of states 40.46 states/eV/cell, E_form (uncorrected) -504 meV per atom. Number 4: Fermi-level density of states 7.69 states/eV/cell, E_form (uncorrected) -1380 meV per atom.